DFT (PBE) results for a relaxed Nd3Co crystal.

## Properties
Final energy   -0.3923 Ry/atom
Formation energy   0.015 eV per atom
Crystal system   tetragonal

abc: 11.740 11.740 6.510
angles: 90.00 90.00 90.00
Space group P4_2/n (No. 86, origin choice 2)
Asymmetric unit:
1 Nd 0.034 0.593 0.191 [8 per cell]
2 Nd 0.111 0.671 0.692 [8 per cell]
3 Nd 0.124 0.186 0.022 [8 per cell]
4 Co 0.067 0.172 0.488 [8 per cell]